[1]
DFT (PBE) results for crystalline Zr3OsPd at its relaxed geometry.

For the distance to the lowest polymorph of the same formula, the calculation gives 0.000 eV per atom. The energy of formation from the pure elements comes out at 0.403 eV per atom. The calculation puts the total magnetization at 0.00 μB per cell.

CIF file:
```
data_Zr3OsPd
_space_group_name_H-M_alt 'P m -3 m'
_space_group_IT_number 221
_space_group_name_Hall '-P 4 2 3'
_cell_length_a 5.021
_cell_length_b 5.021
_cell_length_c 5.021
_cell_angle_alpha 90.00
_cell_angle_beta 90.00
_cell_angle_gamma 90.00
loop_
_atom_site_label
_atom_site_fract_x
_atom_site_fract_y
_atom_site_fract_z
_atom_site_occupancy
Zr1 0.000 0.000 0.500 1
Os1 0.000 0.000 0.000 1
Pd1 0.500 0.500 0.500 1
```

=====

[2]
DFT (PBE) results for crystalline SrNp2CoN4 at its relaxed geometry.

The calculation puts the raw formation energy at -7.5 eV/f.u. The calculation puts the total magnetization at 11.96 μB per cell.

CIF file:
```
data_SrNp2CoN4
_space_group_name_H-M_alt 'C m c m'
_space_group_IT_number 63
_space_group_name_Hall '-C 2c 2'
_cell_length_a 3.471
_cell_length_b 11.501
_cell_length_c 11.335
_cell_angle_alpha 90.00
_cell_angle_beta 90.00
_cell_angle_gamma 90.00
loop_
_atom_site_label
_atom_site_fract_x
_atom_site_fract_y
_atom_site_fract_z
_atom_site_occupancy
Sr1 0.000 0.099 0.250 1
Np1 0.000 0.369 0.057 1
Co1 0.000 0.169 0.750 1
N1 0.000 0.000 0.000 1
N2 0.000 0.258 0.603 1
N3 0.000 0.424 0.250 1
```

=====

[3]
DFT (PBE) results for crystalline Pm4Er3Cd at its relaxed geometry.

The energy of formation from the pure elements comes out at -0.059 eV per atom. The calculation puts the total magnetization at 0.00 μB per cell.

CIF file:
```
data_Pm4Er3Cd
_space_group_name_H-M_alt 'P 4/m m m'
_space_group_IT_number 123
_space_group_name_Hall '-P 4 2'
_cell_length_a 3.616
_cell_length_b 3.616
_cell_length_c 19.231
_cell_angle_alpha 90.00
_cell_angle_beta 90.00
_cell_angle_gamma 90.00
loop_
_atom_site_label
_atom_site_fract_x
_atom_site_fract_y
_atom_site_fract_z
_atom_site_occupancy
Pm1 0.000 0.000 0.111 1
Pm2 0.000 0.000 0.371 1
Er1 0.500 0.500 0.241 1
Er2 0.500 0.500 0.500 1
Cd1 0.500 0.500 0.000 1
```

=====

[4]
DFT (PBE) results for crystalline YZnTe2 at its relaxed geometry.

The calculation puts the raw formation energy at -0.6 eV/f.u. For the distance to the lowest polymorph of the same formula, the calculation gives 0.765 eV per atom. The calculation puts the total magnetization at 0.00 μB per cell.

CIF file:
```
data_YZnTe2
_space_group_name_H-M_alt 'R -3 m'
_space_group_IT_number 166
_space_group_name_Hall '-R 3 2"'
_cell_length_a 3.9805
_cell_length_b 3.9805
_cell_length_c 27.5982
_cell_angle_alpha 90.00
_cell_angle_beta 90.00
_cell_angle_gamma 120.00
loop_
_atom_site_label
_atom_site_fract_x
_atom_site_fract_y
_atom_site_fract_z
_atom_site_occupancy
Y1 0.0000 0.0000 0.0000 1
Zn1 0.0000 0.0000 0.5000 1
Te1 0.0000 0.0000 0.1081 1
```

=====

[5]
DFT (PBE) results for crystalline Cs2ZrTcBi at its relaxed geometry.

The energy of formation from the pure elements comes out at 1.174 eV per atom. The calculation puts the total magnetization at 0.00 μB per cell.

CIF file:
```
data_Cs2ZrTcBi
_space_group_name_H-M_alt 'P 4/m m m'
_space_group_IT_number 123
_space_group_name_Hall '-P 4 2'
_cell_length_a 7.313
_cell_length_b 7.313
_cell_length_c 4.597
_cell_angle_alpha 90.00
_cell_angle_beta 90.00
_cell_angle_gamma 90.00
loop_
_atom_site_label
_atom_site_fract_x
_atom_site_fract_y
_atom_site_fract_z
_atom_site_occupancy
Cs1 0.000 0.500 0.000 1
Zr1 0.000 0.000 0.000 1
Tc1 0.000 0.000 0.500 1
Bi1 0.500 0.500 0.500 1
```

=====

[6]
DFT (PBE) results for crystalline Ba3RuCl2O6 at its relaxed geometry.

The calculation puts the raw formation energy at -19.2 eV/f.u. The calculation puts the total magnetization at 0.00 μB per cell.

CIF file:
```
data_Ba3RuCl2O6
_space_group_name_H-M_alt 'C 1 2/m 1'
_space_group_IT_number 12
_space_group_name_Hall '-C 2y'
_cell_length_a 12.881
_cell_length_b 7.114
_cell_length_c 5.904
_cell_angle_alpha 90.00
_cell_angle_beta 94.89
_cell_angle_gamma 90.00
loop_
_atom_site_label
_atom_site_fract_x
_atom_site_fract_y
_atom_site_fract_z
_atom_site_occupancy
Ba1 0.000 0.000 0.000 1
Ba2 0.250 0.250 0.500 1
Ru1 0.000 0.500 0.500 1
Cl1 0.220 0.000 0.906 1
O1 0.051 0.306 0.315 1
O2 0.132 0.500 0.667 1
```

=====

[7]
DFT (PBE) results for crystalline NaNiSn2Sb at its relaxed geometry.

The calculation puts the raw formation energy at 5.7 eV/f.u. The calculation puts the total magnetization at 0.12 μB per cell.

CIF file:
```
data_NaNiSn2Sb
_space_group_name_H-M_alt 'P 4/m m m'
_space_group_IT_number 123
_space_group_name_Hall '-P 4 2'
_cell_length_a 5.295
_cell_length_b 5.295
_cell_length_c 5.313
_cell_angle_alpha 90.00
_cell_angle_beta 90.00
_cell_angle_gamma 90.00
loop_
_atom_site_label
_atom_site_fract_x
_atom_site_fract_y
_atom_site_fract_z
_atom_site_occupancy
Na1 0.000 0.000 0.000 1
Ni1 0.500 0.500 0.500 1
Sn1 0.000 0.500 0.000 1
Sb1 0.000 0.000 0.500 1
```

=====

[8]
DFT (PBE) results for crystalline LaTb2UN4 at its relaxed geometry.

The calculation puts the raw formation energy at -11.7 eV/f.u. The calculation puts the total magnetization at 2.65 μB per cell.

CIF file:
```
data_LaTb2UN4
_space_group_name_H-M_alt 'I -4 m 2'
_space_group_IT_number 119
_space_group_name_Hall 'I -4 -2'
_cell_length_a 5.005
_cell_length_b 5.005
_cell_length_c 10.033
_cell_angle_alpha 90.00
_cell_angle_beta 90.00
_cell_angle_gamma 90.00
loop_
_atom_site_label
_atom_site_fract_x
_atom_site_fract_y
_atom_site_fract_z
_atom_site_occupancy
La1 0.000 0.000 0.000 1
Tb1 0.000 0.000 0.500 1
Tb2 0.000 0.500 0.250 1
U1 0.000 0.500 0.750 1
N1 0.000 0.000 0.258 1
N2 0.000 0.500 0.528 1
```